No. 1
Compound: Pm4DyBi2
Source: Alexandria
Functional: PBE-GGA
Structure: relaxed

Unit cell a=9.416 b=9.416 c=9.416 alpha=146.42 beta=146.42 gamma=48.23
Atoms (fractional coordinates):
Pm 0.000 0.500 0.500
Pm 0.182 0.182 0.000
Pm 0.500 0.000 0.500
Pm 0.818 0.818 0.000
Dy 0.000 0.000 0.000
Bi 0.366 0.366 0.000
Bi 0.634 0.634 0.000

Summary:
Space-group type: I4/mmm (139)
Mass density in g/cm3: 7.6
ΔE_f in eV/f.u.: 1.24

=====

No. 2
Compound: Pm5DyBi6
Source: Alexandria
Functional: PBE-GGA
Structure: relaxed

Unit cell a=7.903 b=7.903 c=7.901 alpha=99.60 beta=99.60 gamma=120.00
Atoms (fractional coordinates):
Pm 0.000 0.000 0.000
Pm 0.166 0.834 0.500
Pm 0.332 0.668 0.000
Pm 0.668 0.332 0.000
Pm 0.834 0.166 0.500
Dy 0.500 0.500 0.500
Bi 0.088 0.418 0.253
Bi 0.254 0.254 0.749
Bi 0.418 0.088 0.253
Bi 0.582 0.912 0.747
Bi 0.746 0.746 0.251
Bi 0.912 0.582 0.747

Summary:
Space-group type: C2/m (12)
Mass density in g/cm3: 8.8
ΔE_f in eV/f.u.: -11.11

=====

No. 3
Compound: PmDy5Bi5
Source: Alexandria
Functional: PBE-GGA
Structure: relaxed

Unit cell a=7.666 b=7.666 c=8.883 alpha=106.61 beta=106.61 gamma=48.54
Atoms (fractional coordinates):
Pm 0.000 0.000 0.000
Dy 0.000 0.000 0.500
Dy 0.335 0.335 0.169
Dy 0.338 0.338 0.665
Dy 0.662 0.662 0.335
Dy 0.665 0.665 0.831
Bi 0.169 0.169 0.339
Bi 0.171 0.171 0.829
Bi 0.500 0.500 0.000
Bi 0.829 0.829 0.171
Bi 0.831 0.831 0.661

Summary:
Space-group type: C2/m (12)
Mass density in g/cm3: 8.9
ΔE_f in eV/f.u.: -7.42

=====

No. 4
Compound: PmDy2Bi4
Source: Alexandria
Functional: PBE-GGA
Structure: relaxed

Unit cell a=6.128 b=6.128 c=17.167 alpha=90.00 beta=90.00 gamma=136.65
Atoms (fractional coordinates):
Pm 0.053 0.947 0.750
Pm 0.947 0.053 0.250
Dy 0.340 0.660 0.575
Dy 0.340 0.660 0.925
Dy 0.660 0.340 0.075
Dy 0.660 0.340 0.425
Bi 0.000 0.000 0.000
Bi 0.000 0.000 0.500
Bi 0.344 0.656 0.750
Bi 0.351 0.649 0.120
Bi 0.351 0.649 0.380
Bi 0.649 0.351 0.620
Bi 0.649 0.351 0.880
Bi 0.656 0.344 0.250

Summary:
Space-group type: Cmcm (63)
Mass density in g/cm3: 9.8
ΔE_f in eV/f.u.: -4.42

=====

No. 5
Compound: Pm2DyBi
Source: Alexandria
Functional: PBE-GGA
Structure: relaxed

Unit cell a=11.895 b=11.895 c=4.661 alpha=90.00 beta=90.00 gamma=157.38
Atoms (fractional coordinates):
Pm 0.061 0.939 0.750
Pm 0.435 0.565 0.750
Pm 0.565 0.435 0.250
Pm 0.939 0.061 0.250
Dy 0.308 0.692 0.250
Dy 0.692 0.308 0.750
Bi 0.173 0.827 0.250
Bi 0.827 0.173 0.750

Summary:
Space-group type: Cmcm (63)
Mass density in g/cm3: 8.7
ΔE_f in eV/f.u.: -1.62

=====

No. 6
Compound: Pm3DyBi3
Source: Alexandria
Functional: PBE-GGA
Structure: relaxed

Unit cell a=8.352 b=8.352 c=8.352 alpha=67.56 beta=67.56 gamma=67.56
Atoms (fractional coordinates):
Pm 0.087 0.824 0.342
Pm 0.176 0.658 0.913
Pm 0.342 0.087 0.824
Pm 0.658 0.913 0.176
Pm 0.824 0.342 0.087
Pm 0.913 0.176 0.658
Dy 0.333 0.333 0.333
Dy 0.667 0.667 0.667
Bi 0.079 0.473 0.692
Bi 0.308 0.921 0.527
Bi 0.473 0.692 0.079
Bi 0.527 0.308 0.921
Bi 0.692 0.079 0.473
Bi 0.921 0.527 0.308

Summary:
Space-group type: R-3 (148)
Mass density in g/cm3: 8.5
ΔE_f in eV/f.u.: -4.96